# Li | the Alexandria database | GGA-PBEsol | optimized geometry
# Formation energy from the elements: 0.072 eV per atom
# Raw total energy: -1.894 eV per atom
# ΔE to the lowest computed polymorph: 0.072 eV/atom
# Total magnetization: 0.0 μB per formula unit
data_Li
_chemical_formula_sum 'Li4'
_space_group_name_H-M_alt 'I 41/a m d'
_space_group_IT_number 141
_cell_length_a 5.297
_cell_length_b 5.297
_cell_length_c 2.860
_cell_angle_alpha 90.00
_cell_angle_beta 90.00
_cell_angle_gamma 90.00
loop_
_space_group_symop_operation_xyz
'x,y,z'
'-x,-y,-z'
'-y+1/4,x+3/4,z+1/4'
'y+1/4,-x+3/4,-z+1/4'
'-x+1/2,-y,z+1/2'
'x+1/2,y,-z+1/2'
'y+1/4,-x+1/4,z+3/4'
'-y+1/4,x+1/4,-z+3/4'
'x,-y,-z'
'-x,y,z'
'-y+1/4,-x+1/4,-z+3/4'
'y+1/4,x+1/4,z+3/4'
'-x+1/2,y,-z+1/2'
'x+1/2,-y,z+1/2'
'y+1/4,x+3/4,-z+1/4'
'-y+1/4,-x+3/4,z+1/4'
'x+1/2,y+1/2,z+1/2'
'-x+1/2,-y+1/2,-z+1/2'
'-y+3/4,x+1/4,z+3/4'
'y+3/4,-x+1/4,-z+3/4'
'-x,-y+1/2,z'
'x,y+1/2,-z'
'y+3/4,-x+3/4,z+1/4'
'-y+3/4,x+3/4,-z+1/4'
'x+1/2,-y+1/2,-z+1/2'
'-x+1/2,y+1/2,z+1/2'
'-y+3/4,-x+3/4,-z+1/4'
'y+3/4,x+3/4,z+1/4'
'-x,y+1/2,-z'
'x,-y+1/2,z'
'y+3/4,x+1/4,-z+3/4'
'-y+3/4,-x+1/4,z+3/4'
loop_
_atom_site_label
_atom_site_fract_x
_atom_site_fract_y
_atom_site_fract_z
Li1 0.000 0.250 0.375



# Li | the Alexandria database | GGA-PBEsol | optimized geometry
# Formation energy from the elements: 0.000 eV per atom
# Raw total energy: -1.966 eV per atom
# ΔE to the lowest computed polymorph: 0.000 eV/atom
# Total magnetization: 0.0 μB per formula unit
data_Li
_chemical_formula_sum 'Li9'
_space_group_name_H-M_alt 'R -3 m'
_space_group_IT_number 166
_space_group_name_Hall '-R 3 2"'
_cell_length_a 3.0042
_cell_length_b 3.0042
_cell_length_c 22.8947
_cell_angle_alpha 90.00
_cell_angle_beta 90.00
_cell_angle_gamma 120.00
loop_
_atom_site_label
_atom_site_fract_x
_atom_site_fract_y
_atom_site_fract_z
Li1 0.0000 0.0000 0.0000
Li2 0.0000 0.0000 0.2222



# LiLuO2 | the Alexandria database | GGA-PBEsol | optimized geometry
# Formation energy (no corrections): -3.03 eV/atom
# Raw total energy: -7.360 eV per atom
# Total magnetization: 0.0 μB per formula unit
data_LiLuO2
_chemical_formula_sum 'Li3 Lu3 O6'
_space_group_name_H-M_alt 'R -3 m'
_space_group_IT_number 166
_space_group_name_Hall '-R 3 2"'
_cell_length_a 3.2329
_cell_length_b 3.2329
_cell_length_c 14.7751
_cell_angle_alpha 90.00
_cell_angle_beta 90.00
_cell_angle_gamma 120.00
loop_
_atom_site_label
_atom_site_fract_x
_atom_site_fract_y
_atom_site_fract_z
Li1 0.0000 0.0000 0.0000
Lu1 0.0000 0.0000 0.5000
O1 0.0000 0.0000 0.2447



# LiLuO2 | the Alexandria database | GGA-PBEsol | optimized geometry
# Formation energy (no corrections): -3.09 eV/atom
# Raw total energy: -7.424 eV per atom
# Total magnetization: 0.0 μB per formula unit
data_LiLuO2
_chemical_formula_sum 'Li4 Lu4 O8'
_space_group_name_H-M_alt 'I 41/a m d'
_space_group_IT_number 141
_cell_length_a 4.309
_cell_length_b 4.309
_cell_length_c 9.871
_cell_angle_alpha 90.00
_cell_angle_beta 90.00
_cell_angle_gamma 90.00
loop_
_space_group_symop_operation_xyz
'x,y,z'
'-x,-y,-z'
'-y+1/4,x+3/4,z+1/4'
'y+1/4,-x+3/4,-z+1/4'
'-x+1/2,-y,z+1/2'
'x+1/2,y,-z+1/2'
'y+1/4,-x+1/4,z+3/4'
'-y+1/4,x+1/4,-z+3/4'
'x,-y,-z'
'-x,y,z'
'-y+1/4,-x+1/4,-z+3/4'
'y+1/4,x+1/4,z+3/4'
'-x+1/2,y,-z+1/2'
'x+1/2,-y,z+1/2'
'y+1/4,x+3/4,-z+1/4'
'-y+1/4,-x+3/4,z+1/4'
'x+1/2,y+1/2,z+1/2'
'-x+1/2,-y+1/2,-z+1/2'
'-y+3/4,x+1/4,z+3/4'
'y+3/4,-x+1/4,-z+3/4'
'-x,-y+1/2,z'
'x,y+1/2,-z'
'y+3/4,-x+3/4,z+1/4'
'-y+3/4,x+3/4,-z+1/4'
'x+1/2,-y+1/2,-z+1/2'
'-x+1/2,y+1/2,z+1/2'
'-y+3/4,-x+3/4,-z+1/4'
'y+3/4,x+3/4,z+1/4'
'-x,y+1/2,-z'
'x,-y+1/2,z'
'y+3/4,x+1/4,-z+3/4'
'-y+3/4,-x+1/4,z+3/4'
loop_
_atom_site_label
_atom_site_fract_x
_atom_site_fract_y
_atom_site_fract_z
Li1 0.000 0.250 0.375
Lu1 0.000 0.250 0.875
O1 0.000 0.250 0.100